# GGA-PBE AlZnFeCu, optimized geometry
data_AlZnFeCu
_chemical_formula_sum 'Al4 Zn4 Fe4 Cu4'
_space_group_name_H-M_alt 'F -4 3 m'
_space_group_IT_number 216
_space_group_name_Hall 'F -4 2 3'
_cell_length_a 5.809
_cell_length_b 5.809
_cell_length_c 5.809
_cell_angle_alpha 90.00
_cell_angle_beta 90.00
_cell_angle_gamma 90.00
loop_
_atom_site_label
_atom_site_type_symbol
_atom_site_fract_x
_atom_site_fract_y
_atom_site_fract_z
Al1 Al 0.000 0.000 0.000
Zn1 Zn 0.000 0.000 0.500
Fe1 Fe 0.250 0.250 0.750
Cu1 Cu 0.250 0.250 0.250
# Crystal system ... cubic
# ΔE to the lowest computed polymorph ... 0 meV per atom


# GGA-PBE AlZnFeCu, optimized geometry
data_AlZnFeCu
_chemical_formula_sum 'Al4 Zn4 Fe4 Cu4'
_space_group_name_H-M_alt 'F -4 3 m'
_space_group_IT_number 216
_space_group_name_Hall 'F -4 2 3'
_cell_length_a 5.829
_cell_length_b 5.829
_cell_length_c 5.829
_cell_angle_alpha 90.00
_cell_angle_beta 90.00
_cell_angle_gamma 90.00
loop_
_atom_site_label
_atom_site_type_symbol
_atom_site_fract_x
_atom_site_fract_y
_atom_site_fract_z
Al1 Al 0.000 0.000 0.000
Zn1 Zn 0.250 0.250 0.250
Fe1 Fe 0.250 0.250 0.750
Cu1 Cu 0.000 0.000 0.500
# Crystal system ... cubic
# ΔE to the lowest computed polymorph ... 99 meV per atom


# GGA-PBE Al2ZnFeCu4, optimized geometry
data_Al2ZnFeCu4
_chemical_formula_sum 'Al2 Zn1 Fe1 Cu4'
_space_group_name_H-M_alt 'P 4/m m m'
_space_group_IT_number 123
_space_group_name_Hall '-P 4 2'
_cell_length_a 4.056
_cell_length_b 4.056
_cell_length_c 6.151
_cell_angle_alpha 90.00
_cell_angle_beta 90.00
_cell_angle_gamma 90.00
loop_
_atom_site_label
_atom_site_type_symbol
_atom_site_fract_x
_atom_site_fract_y
_atom_site_fract_z
Al1 Al 0.000 0.000 0.000
Al2 Al 0.500 0.500 0.500
Zn1 Zn 0.000 0.000 0.500
Fe1 Fe 0.500 0.500 0.000
Cu1 Cu 0.000 0.500 0.249
# Crystal system ... tetragonal
# ΔE to the lowest computed polymorph ... 0 meV per atom


# GGA-PBE Zr2Al2Fe3Cu, optimized geometry
data_Zr2Al2Fe3Cu
_chemical_formula_sum 'Zr2 Al2 Fe3 Cu1'
_space_group_name_H-M_alt 'P 3 m 1'
_space_group_IT_number 156
_space_group_name_Hall 'P 3 -2"'
_cell_length_a 4.1919
_cell_length_b 4.1919
_cell_length_c 7.9839
_cell_angle_alpha 90.00
_cell_angle_beta 90.00
_cell_angle_gamma 120.00
loop_
_atom_site_label
_atom_site_type_symbol
_atom_site_fract_x
_atom_site_fract_y
_atom_site_fract_z
Zr1 Zr 0.0000 0.0000 0.0000
Zr2 Zr 0.3333 0.6667 0.5008
Al1 Al 0.6667 0.3333 0.2566
Al2 Al 0.6667 0.3333 0.7670
Fe1 Fe 0.0000 0.0000 0.3270
Fe2 Fe 0.3333 0.6667 0.1735
Fe3 Fe 0.3333 0.6667 0.8554
Cu1 Cu 0.0000 0.0000 0.6644
# Crystal system ... trigonal
# DFT total energy ... -6.85 eV/atom


# GGA-PBE ZrAlFeCu, optimized geometry
data_ZrAlFeCu
_chemical_formula_sum 'Zr4 Al4 Fe4 Cu4'
_space_group_name_H-M_alt 'F -4 3 m'
_space_group_IT_number 216
_space_group_name_Hall 'F -4 2 3'
_cell_length_a 6.263
_cell_length_b 6.263
_cell_length_c 6.263
_cell_angle_alpha 90.00
_cell_angle_beta 90.00
_cell_angle_gamma 90.00
loop_
_atom_site_label
_atom_site_type_symbol
_atom_site_fract_x
_atom_site_fract_y
_atom_site_fract_z
Zr1 Zr 0.000 0.000 0.000
Al1 Al 0.250 0.250 0.250
Fe1 Fe 0.250 0.250 0.750
Cu1 Cu 0.000 0.000 0.500
# Crystal system ... cubic
# ΔE to the lowest computed polymorph ... 222 meV per atom


# GGA-PBE ZrAlFeCu, optimized geometry
data_ZrAlFeCu
_chemical_formula_sum 'Zr4 Al4 Fe4 Cu4'
_space_group_name_H-M_alt 'F -4 3 m'
_space_group_IT_number 216
_space_group_name_Hall 'F -4 2 3'
_cell_length_a 6.188
_cell_length_b 6.188
_cell_length_c 6.188
_cell_angle_alpha 90.00
_cell_angle_beta 90.00
_cell_angle_gamma 90.00
loop_
_atom_site_label
_atom_site_type_symbol
_atom_site_fract_x
_atom_site_fract_y
_atom_site_fract_z
Zr1 Zr 0.000 0.000 0.000
Al1 Al 0.000 0.000 0.500
Fe1 Fe 0.250 0.250 0.250
Cu1 Cu 0.250 0.250 0.750
# Crystal system ... cubic
# ΔE to the lowest computed polymorph ... 0 meV per atom


# GGA-PBE Al3GaCu2, optimized geometry
data_Al3GaCu2
_chemical_formula_sum 'Al3 Ga1 Cu2'
_space_group_name_H-M_alt 'P -4 m 2'
_space_group_IT_number 115
_space_group_name_Hall 'P -4 -2'
_cell_length_a 4.090
_cell_length_b 4.090
_cell_length_c 5.780
_cell_angle_alpha 90.00
_cell_angle_beta 90.00
_cell_angle_gamma 90.00
loop_
_atom_site_label
_atom_site_type_symbol
_atom_site_fract_x
_atom_site_fract_y
_atom_site_fract_z
Al1 Al 0.000 0.000 0.000
Al2 Al 0.000 0.000 0.500
Al3 Al 0.500 0.500 0.000
Ga1 Ga 0.500 0.500 0.500
Cu1 Cu 0.000 0.500 0.249
# Crystal system ... tetragonal
# DFT total energy ... -3.77 eV/atom


# GGA-PBE AlGaCu6, optimized geometry
data_AlGaCu6
_chemical_formula_sum 'Al1 Ga1 Cu6'
_space_group_name_H-M_alt 'P -6 m 2'
_space_group_IT_number 187
_space_group_name_Hall 'P -6 2'
_cell_length_a 5.2274
_cell_length_b 5.2274
_cell_length_c 4.2339
_cell_angle_alpha 90.00
_cell_angle_beta 90.00
_cell_angle_gamma 120.00
loop_
_atom_site_label
_atom_site_type_symbol
_atom_site_fract_x
_atom_site_fract_y
_atom_site_fract_z
Al1 Al 0.0000 0.0000 0.0000
Ga1 Ga 0.3333 0.6667 0.5000
Cu1 Cu 0.3342 0.1671 0.5000
Cu2 Cu 0.5018 0.0035 0.0000
# Crystal system ... hexagonal
# DFT total energy ... -3.78 eV/atom


# GGA-PBE Al2GaCu, optimized geometry
data_Al2GaCu
_chemical_formula_sum 'Al8 Ga4 Cu4'
_space_group_name_H-M_alt 'F -4 3 m'
_space_group_IT_number 216
_space_group_name_Hall 'F -4 2 3'
_cell_length_a 6.314
_cell_length_b 6.314
_cell_length_c 6.314
_cell_angle_alpha 90.00
_cell_angle_beta 90.00
_cell_angle_gamma 90.00
loop_
_atom_site_label
_atom_site_type_symbol
_atom_site_fract_x
_atom_site_fract_y
_atom_site_fract_z
Al1 Al 0.000 0.000 0.000
Al2 Al 0.250 0.250 0.250
Ga1 Ga 0.000 0.000 0.500
Cu1 Cu 0.250 0.250 0.750
# Crystal system ... cubic
# DFT total energy ... -3.45 eV/atom


# GGA-PBE Gd2AlGaCu4, optimized geometry
data_Gd2AlGaCu4
_chemical_formula_sum 'Gd2 Al1 Ga1 Cu4'
_space_group_name_H-M_alt 'P -3 m 1'
_space_group_IT_number 164
_space_group_name_Hall '-P 3 2"'
_cell_length_a 4.2920
_cell_length_b 4.2920
_cell_length_c 8.7752
_cell_angle_alpha 90.00
_cell_angle_beta 90.00
_cell_angle_gamma 120.00
loop_
_atom_site_label
_atom_site_type_symbol
_atom_site_fract_x
_atom_site_fract_y
_atom_site_fract_z
Gd1 Gd 0.3333 0.6667 0.2512
Al1 Al 0.0000 0.0000 0.0000
Ga1 Ga 0.0000 0.0000 0.5000
Cu1 Cu 0.3333 0.6667 0.5773
Cu2 Cu 0.3333 0.6667 0.9264
# Crystal system ... trigonal
# DFT total energy ... -4.23 eV/atom


# GGA-PBE Hf2AlGaCu2, optimized geometry
data_Hf2AlGaCu2
_chemical_formula_sum 'Hf8 Al4 Ga4 Cu8'
_space_group_name_H-M_alt 'P 1 m 1'
_space_group_IT_number 6
_space_group_name_Hall 'P -2y'
_cell_length_a 10.334
_cell_length_b 4.218
_cell_length_c 10.336
_cell_angle_alpha 90.00
_cell_angle_beta 109.47
_cell_angle_gamma 90.00
loop_
_atom_site_label
_atom_site_type_symbol
_atom_site_fract_x
_atom_site_fract_y
_atom_site_fract_z
Hf1 Hf 0.000 0.000 0.000
Hf2 Hf 0.124 0.500 0.372
Hf3 Hf 0.248 0.000 0.750
Hf4 Hf 0.373 0.500 0.125
Hf5 Hf 0.499 0.000 0.497
Hf6 Hf 0.625 0.500 0.875
Hf7 Hf 0.749 0.000 0.249
Hf8 Hf 0.874 0.500 0.624
Al1 Al 0.000 0.000 0.499
Al2 Al 0.374 0.500 0.624
Al3 Al 0.499 0.000 0.999
Al4 Al 0.749 0.000 0.749
Ga1 Ga 0.124 0.500 0.874
Ga2 Ga 0.249 0.000 0.249
Ga3 Ga 0.624 0.500 0.374
Ga4 Ga 0.874 0.500 0.124
Cu1 Cu 0.124 0.500 0.123
Cu2 Cu 0.249 0.000 0.501
Cu3 Cu 0.376 0.500 0.875
Cu4 Cu 0.499 0.000 0.247
Cu5 Cu 0.623 0.500 0.625
Cu6 Cu 0.749 0.000 0.999
Cu7 Cu 0.876 0.500 0.375
Cu8 Cu 0.997 0.000 0.748
# Crystal system ... monoclinic
# DFT total energy ... -5.96 eV/atom


# GGA-PBE La2AlGaCu4, optimized geometry
data_La2AlGaCu4
_chemical_formula_sum 'La2 Al1 Ga1 Cu4'
_space_group_name_H-M_alt 'P -3 m 1'
_space_group_IT_number 164
_space_group_name_Hall '-P 3 2"'
_cell_length_a 4.2860
_cell_length_b 4.2860
_cell_length_c 9.9114
_cell_angle_alpha 90.00
_cell_angle_beta 90.00
_cell_angle_gamma 120.00
loop_
_atom_site_label
_atom_site_type_symbol
_atom_site_fract_x
_atom_site_fract_y
_atom_site_fract_z
La1 La 0.3333 0.6667 0.2495
Al1 Al 0.0000 0.0000 0.5000
Ga1 Ga 0.0000 0.0000 0.0000
Cu1 Cu 0.3333 0.6667 0.5503
Cu2 Cu 0.3333 0.6667 0.9482
# Crystal system ... trigonal
# DFT total energy ... -4.27 eV/atom